A plane-wave DFT calculation with PBE-GGA was carried out for Hf4SiNi after structural relaxation.

Summary:
* total DFT energy (no corrections): -53.827 eV/f.u.

Lattice parameters (Å, degrees): 6.4261 6.4261 5.3325 90.00 90.00 90.00
With the nearest neighbours (Å) after each atom.
Space group I422 (No. 97)
Inequivalent atoms, fractional coordinates:
Hf 0.1607 0.3393 0.2500 x8  2 Ni 2.76, 2 Si 2.76, 1 Hf 2.92
Si 0.0000 0.0000 0.0000 x2  2 Ni 2.67, 8 Hf 2.76
Ni 0.0000 0.0000 0.5000 x2  2 Si 2.67, 8 Hf 2.76